Entry 1:
First-principles (PBE-GGA) data for crystalline NaTlAsAu2 at its relaxed geometry, as listed in the Alexandria database.

Formation energy (kJ/mol of formula units): 53
DOS at the Fermi energy (states/eV/atom): 0.483
VASP energy (eV per formula unit): -14.34

Lattice parameters (Å, degrees): 4.991 4.991 5.756 90.00 90.00 90.00
Space group P4/mmm (No. 123)
Symmetry-distinct sites (fractional):
1 Na 0.000 0.000 0.000 (multiplicity 1)
2 Tl 0.500 0.500 0.000 (multiplicity 1)
3 As 0.500 0.500 0.500 (multiplicity 1)
4 Au 0.000 0.500 0.500 (multiplicity 2)

***

Entry 2:
First-principles (PBE-GGA) data for crystalline Re2PdPt at its relaxed geometry, as listed in the Alexandria database.

Energy above the lowest structure with this stoichiometry (meV per atom): 902
Formation energy (kJ/mol of formula units): 573
DOS at the Fermi energy (states/eV/atom): 0.943
VASP energy (eV per formula unit): -30.19

Lattice parameters (Å, degrees): 5.694 5.694 10.993 90.00 90.00 90.00
Space group I-42d (No. 122)
Symmetry-distinct sites (fractional):
1 Re 0.247 0.250 0.125 (multiplicity 8)
2 Pd 0.000 0.000 0.500 (multiplicity 4)
3 Pt 0.000 0.000 0.000 (multiplicity 4)